Compound: CaTcIr2
Source: the Alexandria database
Functional: GGA-PBE
Structure: optimized geometry

Computed properties:
Relative energy among the computed polymorphs = 1.73 eV per formula unit
Symmetry = Fm-3m (225)
Density of states at the Fermi level = 0.9355 states/eV per atom
E = -28.75 eV for the cell shown
ΔH_f (0 K) = 32 kJ/mol of atoms

Cell lengths 4.578, 4.578, 4.578 Å; angles 60.00, 60.00, 60.00 degrees
Each line ends with the local moment (μB).
Atoms (fractional coordinates):
Ir 0.250 0.250 0.250  0.60
Ir 0.750 0.750 0.750  0.60
Ca 0.000 0.000 0.000  -0.01
Tc 0.500 0.500 0.500  1.60